No. 1
Entry from Alexandria via LeMat-Bulk: AcPr2Dy2Er2 after structural relaxation (PBE-GGA).

E   -4.5276 eV per atom
Energy of formation   0.0434 eV per atom

```
AcPr2Dy2Er2
1.0
-0.6868 -5.1085 0.2228
2.4683 2.0349 -5.4682
6.9753 -0.7576 4.1310
Ac Pr Dy Er
1 2 2 2
direct
0.0000 0.0000 0.0000
0.7151 0.4301 0.1527
0.2849 0.5699 0.8473
0.5742 0.1484 0.7046
0.4258 0.8516 0.2954
0.1418 0.2836 0.4334
0.8582 0.7164 0.5666
```



No. 2
Entry from Alexandria via LeMat-Bulk: Ac2Pr5DyEr after structural relaxation (PBE-GGA).

E   -4.4763 eV per atom
Energy of formation   0.1103 eV per atom

```
Ac2Pr5DyEr
1.0
5.6494 0.0000 0.0000
-2.8247 11.3593 0.0000
0.0000 0.0000 10.5139
Ac Pr Dy Er
4 10 2 2
direct
0.8840 0.7679 0.7698
0.1160 0.2321 0.7467
0.1160 0.2321 0.2698
0.8840 0.7679 0.2467
0.3776 0.7551 0.0083
0.7217 0.4434 0.8191
0.5000 0.9999 0.7582
0.2783 0.5566 0.6973
0.9968 0.9935 0.5082
0.6224 0.2449 0.5083
0.2783 0.5566 0.3191
0.5000 0.0001 0.2582
0.7217 0.4434 0.1973
0.0032 0.0065 0.0082
0.6028 0.2055 0.0081
0.3972 0.7945 0.5081
0.7830 0.5660 0.5082
0.2170 0.4340 0.0082
```



No. 3
Entry from Alexandria via LeMat-Bulk: AcPr4DyEr2 after structural relaxation (PBE-GGA).

E   -4.5849 eV per atom
Energy of formation   0.0344 eV per atom

```
AcPr4DyEr2
1.0
5.2110 0.0000 0.0000
2.6055 5.7659 -0.5810
2.6055 -0.1447 9.3807
Ac Pr Dy Er
1 4 1 2
direct
0.5000 0.5000 0.5000
0.1221 0.1249 0.6308
0.3729 0.3756 0.8786
0.8779 0.8751 0.3692
0.6271 0.6244 0.1214
0.0000 0.0000 0.0000
0.7424 0.7584 0.7569
0.2576 0.2416 0.2431
```



No. 4
Entry from Alexandria via LeMat-Bulk: AcPrDy3Er after structural relaxation (PBE-GGA).

E   -4.3197 eV per atom
Energy of formation   0.2231 eV per atom

```
AcPrDy3Er
1.0
5.7172 0.0000 0.0000
-2.8586 9.5901 1.5024
0.0000 -1.3648 7.4817
Ac Pr Dy Er
2 2 6 2
direct
0.3581 0.7162 0.9759
0.6419 0.2838 0.0241
0.0475 0.0951 0.2842
0.9525 0.9049 0.7158
0.8336 0.6672 0.2860
0.7812 0.5624 0.7506
0.4761 0.9522 0.2942
0.2188 0.4376 0.2494
0.5239 0.0478 0.7058
0.1664 0.3328 0.7140
0.6539 0.3078 0.4535
0.3461 0.6922 0.5465
```